1.
Material: LiSbF6
Method: DFT, GGA-PBEsol
State: optimized geometry

Properties
The calculation puts the uncorrected formation energy at -2561 meV/atom. For the density of states at the Fermi level, the calculation gives 0.00 states/eV/atom. The calculation puts the magnetic moment at 0.00 μB per formula unit. The electronic total energy comes out at -38.58 eV for the cell shown. The crystal system is trigonal.

a b c (Å): 5.433 5.433 5.433
angles (deg): 56.84 56.84 56.84
Element x y z (fractional)
Li: 0.000 0.000 0.000
Sb: 0.500 0.500 0.500
F: 0.147 0.369 0.742
F: 0.258 0.853 0.631
F: 0.369 0.742 0.147
F: 0.631 0.258 0.853
F: 0.742 0.147 0.369
F: 0.853 0.631 0.258

2.
Material: LiSb2TeF
Method: DFT, GGA-PBEsol
State: optimized geometry

Properties
The calculation puts the uncorrected formation energy at -34 meV/atom. For the density of states at the Fermi level, the calculation gives 0.44 states/eV/atom. The calculation puts the magnetic moment at 0.00 μB per formula unit. The electronic total energy comes out at -16.71 eV for the cell shown. The crystal system is tetragonal.

a b c (Å): 4.838 4.838 4.786
angles (deg): 90.00 90.00 90.00
Element x y z (fractional)
Li: 0.000 0.000 0.000
Sb: 0.000 0.500 0.000
Sb: 0.500 0.000 0.000
Te: 0.000 0.000 0.500
F: 0.500 0.500 0.500

3.
Material: LiScF2
Method: DFT, GGA-PBEsol
State: optimized geometry

Properties
The calculation puts the uncorrected formation energy at -2304 meV/atom. For the density of states at the Fermi level, the calculation gives 0.59 states/eV/atom. The calculation puts the magnetic moment at 0.00 μB per formula unit. The electronic total energy comes out at -21.64 eV for the cell shown. The crystal system is trigonal.

a b c (Å): 6.880 6.880 6.880
angles (deg): 25.44 25.44 25.44
Element x y z (fractional)
Li: 0.000 0.000 0.000
Sc: 0.500 0.500 0.500
F: 0.093 0.093 0.093
F: 0.907 0.907 0.907